# 1
LaUTaN3 | PBE-GGA | optimized geometry

Structure (CIF):
```
data_LaUTaN3
_cell_length_a 7.417
_cell_length_b 3.382
_cell_length_c 8.092
_cell_angle_alpha 90.00
_cell_angle_beta 96.67
_cell_angle_gamma 90.00
_space_group_name_H-M_alt 'P 1 21/m 1'
_space_group_IT_number 11
loop_
_space_group_symop_operation_xyz
'x,y,z'
'-x,-y,-z'
'-x,y+1/2,-z'
'x,-y+1/2,z'
loop_
_atom_site_label
_atom_site_fract_x
_atom_site_fract_y
_atom_site_fract_z
La1 0.149 0.250 0.177
U1 0.363 0.750 0.842
Ta1 0.126 0.250 0.581
N1 0.138 0.250 0.850
N2 0.176 0.750 0.439
N3 0.417 0.750 0.108
```

---

# 2
# ZnIr3Br PBE-GGA optimized geometry
# Offset from the most stable computed form in eV per formula unit: 0.00
data_ZnIr3Br
_cell_length_a 4.616
_cell_length_b 4.616
_cell_length_c 4.616
_cell_angle_alpha 90.00
_cell_angle_beta 90.00
_cell_angle_gamma 90.00
_space_group_name_H-M_alt 'P m -3 m'
_space_group_IT_number 221
_space_group_name_Hall '-P 4 2 3'
loop_
_atom_site_label
_atom_site_fract_x
_atom_site_fract_y
_atom_site_fract_z
Zn1 0.000 0.000 0.000
Ir1 0.000 0.500 0.500
Br1 0.500 0.500 0.500

---

# 3
# Sm6Ho12Al PBE-GGA optimized geometry
# Energy of formation in meV per atom: 90
data_Sm6Ho12Al
_cell_length_a 11.8094
_cell_length_b 11.8094
_cell_length_c 14.8739
_cell_angle_alpha 90.00
_cell_angle_beta 90.00
_cell_angle_gamma 120.00
_space_group_name_H-M_alt 'R -3'
_space_group_IT_number 148
_space_group_name_Hall '-R 3'
loop_
_atom_site_label
_atom_site_fract_x
_atom_site_fract_y
_atom_site_fract_z
Sm1 0.0177 0.4263 0.1838
Ho1 0.0005 0.1717 0.3142
Ho2 0.0468 0.8522 0.9152
Al1 0.0000 0.0000 0.5000

---

# 4
# K2Pd2Au PBE-GGA optimized geometry
# Energy of formation in meV per atom: -44
# Offset from the most stable computed form in eV per formula unit: 0.42
data_K2Pd2Au
_cell_length_a 6.984
_cell_length_b 6.984
_cell_length_c 5.155
_cell_angle_alpha 90.00
_cell_angle_beta 90.00
_cell_angle_gamma 90.00
_space_group_name_H-M_alt 'P 4/m b m'
_space_group_IT_number 127
_space_group_name_Hall '-P 4 2ab'
loop_
_atom_site_label
_atom_site_fract_x
_atom_site_fract_y
_atom_site_fract_z
K1 0.178 0.322 0.000
Pd1 0.134 0.634 0.500
Au1 0.000 0.000 0.500

---

# 5
Sc2CSe | PBE-GGA | optimized geometry

Structure (CIF):
```
data_Sc2CSe
_cell_length_a 6.337
_cell_length_b 6.337
_cell_length_c 6.337
_cell_angle_alpha 90.00
_cell_angle_beta 90.00
_cell_angle_gamma 90.00
_space_group_name_H-M_alt 'F m -3 m'
_space_group_IT_number 225
_space_group_name_Hall '-F 4 2 3'
loop_
_atom_site_label
_atom_site_fract_x
_atom_site_fract_y
_atom_site_fract_z
Sc1 0.250 0.250 0.250
C1 0.000 0.000 0.000
Se1 0.000 0.000 0.500
```

---

# 6
# Dy4Y2Th PBE-GGA optimized geometry
# Energy of formation in meV per atom: 23
# Offset from the most stable computed form in eV per formula unit: 0.00
data_Dy4Y2Th
_cell_length_a 6.229
_cell_length_b 3.598
_cell_length_c 20.152
_cell_angle_alpha 90.00
_cell_angle_beta 95.96
_cell_angle_gamma 90.00
_space_group_name_H-M_alt 'C 1 m 1'
_space_group_IT_number 8
loop_
_space_group_symop_operation_xyz
'x,y,z'
'x,-y,z'
'x+1/2,y+1/2,z'
'x+1/2,-y+1/2,z'
loop_
_atom_site_label
_atom_site_fract_x
_atom_site_fract_y
_atom_site_fract_z
Dy1 0.000 0.000 0.000
Dy2 0.022 0.500 0.570
Dy3 0.094 0.000 0.284
Dy4 0.118 0.500 0.858
Y1 0.214 0.500 0.142
Y2 0.307 0.500 0.427
Th1 0.403 0.500 0.714

---

# 7
SiAgMo2 | PBE-GGA | optimized geometry

Structure (CIF):
```
data_SiAgMo2
_cell_length_a 3.746
_cell_length_b 3.746
_cell_length_c 19.303
_cell_angle_alpha 90.00
_cell_angle_beta 90.00
_cell_angle_gamma 90.00
_space_group_name_H-M_alt 'I -4 2 d'
_space_group_IT_number 122
_space_group_name_Hall 'I -4 2bw'
loop_
_atom_site_label
_atom_site_fract_x
_atom_site_fract_y
_atom_site_fract_z
Si1 0.000 0.000 0.000
Ag1 0.000 0.000 0.500
Mo1 0.221 0.250 0.125
```

---

# 8
Ca2PrZnN | PBE-GGA | optimized geometry

Structure (CIF):
```
data_Ca2PrZnN
_cell_length_a 6.769
_cell_length_b 6.769
_cell_length_c 10.598
_cell_angle_alpha 90.00
_cell_angle_beta 90.00
_cell_angle_gamma 90.00
_space_group_name_H-M_alt 'I 4 c m'
_space_group_IT_number 108
_space_group_name_Hall 'I 4 -2c'
loop_
_atom_site_label
_atom_site_fract_x
_atom_site_fract_y
_atom_site_fract_z
Ca1 0.213 0.287 0.000
Pr1 0.000 0.000 0.240
Zn1 0.000 0.500 0.256
N1 0.000 0.000 0.022
```

---

# 9
NdHRh2 | PBE-GGA | optimized geometry

Structure (CIF):
```
data_NdHRh2
_cell_length_a 3.0203
_cell_length_b 3.0203
_cell_length_c 22.6100
_cell_angle_alpha 90.00
_cell_angle_beta 90.00
_cell_angle_gamma 120.00
_space_group_name_H-M_alt 'R -3 m'
_space_group_IT_number 166
_space_group_name_Hall '-R 3 2"'
loop_
_atom_site_label
_atom_site_fract_x
_atom_site_fract_y
_atom_site_fract_z
Nd1 0.0000 0.0000 0.0000
H1 0.0000 0.0000 0.5000
Rh1 0.0000 0.0000 0.1165
```

---

# 10
# Rb2CdCuBr6 PBE-GGA optimized geometry
# Offset from the most stable computed form in eV per formula unit: 0.00
data_Rb2CdCuBr6
_cell_length_a 8.065
_cell_length_b 7.726
_cell_length_c 13.101
_cell_angle_alpha 90.00
_cell_angle_beta 125.85
_cell_angle_gamma 90.00
_space_group_name_H-M_alt 'P 1 21/c 1'
_space_group_IT_number 14
loop_
_space_group_symop_operation_xyz
'x,y,z'
'-x,-y,-z'
'-x,y+1/2,-z+1/2'
'x,-y+1/2,z+1/2'
loop_
_atom_site_label
_atom_site_fract_x
_atom_site_fract_y
_atom_site_fract_z
Rb1 0.250 0.025 0.249
Cd1 0.000 0.000 0.500
Cu1 0.500 0.000 0.000
Br1 0.171 0.247 0.967
Br2 0.268 0.744 0.466
Br3 0.337 0.019 0.772

---

# 11
K2LiHgCl4 | PBE-GGA | optimized geometry

Structure (CIF):
```
data_K2LiHgCl4
_cell_length_a 6.403
_cell_length_b 13.852
_cell_length_c 21.334
_cell_angle_alpha 90.00
_cell_angle_beta 90.00
_cell_angle_gamma 90.00
_space_group_name_H-M_alt 'F d d d'
_space_group_IT_number 70
loop_
_space_group_symop_operation_xyz
'x,y,z'
'-x,-y,-z'
'-x+1/4,-y+1/4,z'
'x+1/4,y+1/4,-z'
'x,-y+1/4,-z+1/4'
'-x,y+1/4,z+1/4'
'-x+1/4,y,-z+1/4'
'x+1/4,-y,z+1/4'
'x,y+1/2,z+1/2'
'-x,-y+1/2,-z+1/2'
'-x+1/4,-y+3/4,z+1/2'
'x+1/4,y+3/4,-z+1/2'
'x,-y+3/4,-z+3/4'
'-x,y+3/4,z+3/4'
'-x+1/4,y+1/2,-z+3/4'
'x+1/4,-y+1/2,z+3/4'
'x+1/2,y,z+1/2'
'-x+1/2,-y,-z+1/2'
'-x+3/4,-y+1/4,z+1/2'
'x+3/4,y+1/4,-z+1/2'
'x+1/2,-y+1/4,-z+3/4'
'-x+1/2,y+1/4,z+3/4'
'-x+3/4,y,-z+3/4'
'x+3/4,-y,z+3/4'
'x+1/2,y+1/2,z'
'-x+1/2,-y+1/2,-z'
'-x+3/4,-y+3/4,z'
'x+3/4,y+3/4,-z'
'x+1/2,-y+3/4,-z+1/4'
'-x+1/2,y+3/4,z+1/4'
'-x+3/4,y+1/2,-z+1/4'
'x+3/4,-y+1/2,z+1/4'
loop_
_atom_site_label
_atom_site_fract_x
_atom_site_fract_y
_atom_site_fract_z
K1 0.125 0.125 0.308
Li1 0.125 0.125 0.125
Hg1 0.125 0.125 0.625
Cl1 0.057 0.262 0.437
```

---

# 12
# NaSr2NbCr PBE-GGA optimized geometry
# Energy of formation in meV per atom: 1463
data_NaSr2NbCr
_cell_length_a 6.288
_cell_length_b 6.288
_cell_length_c 5.789
_cell_angle_alpha 90.00
_cell_angle_beta 90.00
_cell_angle_gamma 90.00
_space_group_name_H-M_alt 'P 4/m m m'
_space_group_IT_number 123
_space_group_name_Hall '-P 4 2'
loop_
_atom_site_label
_atom_site_fract_x
_atom_site_fract_y
_atom_site_fract_z
Na1 0.000 0.000 0.000
Sr1 0.000 0.500 0.500
Nb1 0.000 0.000 0.500
Cr1 0.500 0.500 0.000

---

Number 1: calculated total energy -9.83 eV/atom. Number 2: calculated total energy -4.10 eV/atom. Number 3: calculated total energy -4.49 eV/atom. Number 4: calculated total energy -3.22 eV/atom. Number 5: calculated total energy -6.52 eV/atom. Number 6: calculated total energy -5.51 eV/atom. Number 7: calculated total energy -6.86 eV/atom. Number 8: calculated total energy -4.21 eV/atom. Number 9: calculated total energy -5.39 eV/atom. Number 10: calculated total energy -2.71 eV/atom. Number 11: calculated total energy -2.86 eV/atom. Number 12: calculated total energy -3.41 eV/atom.